[1]
{
  "formula": "PmY2TmP4",
  "functional": "PBE-GGA",
  "state": "relaxed",
  "lattice": [[-3.9581, 0.5086, 0.5647], [0.9215, -0.4858, 6.8970], [0.5776, 6.6710, -1.9593]],
  "species": ["Pm", "Y", "Y", "Tm", "P", "P", "P", "P"],
  "fractional_positions": [[0.5000, 0.5000, 0.0000], [0.5000, 0.0000, 0.5000], [0.0000, 0.5000, 0.5000], [0.0000, 0.0000, 0.0000], [0.5000, 0.2447, 0.2493], [0.5000, 0.7553, 0.7507], [0.0000, 0.2439, 0.7468], [0.0000, 0.7561, 0.2532]],
  "total_magnetization_mub_per_cell": 0.0,
  "energy_ev_per_atom": -7.072,
  "vol_a3_per_atom": 23.115,
  "spacegroup": "No. 10"
}


[2]
{
  "formula": "PmY3Tm2P6",
  "functional": "PBE-GGA",
  "state": "relaxed",
  "lattice": [[6.9502, -0.0007, 0.0007], [-3.4740, 6.0197, 0.0007], [-1.1591, -2.0070, 6.5540]],
  "species": ["Pm", "Y", "Y", "Y", "Tm", "Tm", "P", "P", "P", "P", "P", "P"],
  "fractional_positions": [[0.0000, 0.0000, 0.0000], [0.1655, 0.8345, 0.5000], [0.8345, 0.1655, 0.5000], [0.5000, 0.5000, 0.5000], [0.3330, 0.6670, 0.0000], [0.6670, 0.3330, 0.0000], [0.9168, 0.5774, 0.7504], [0.7436, 0.7436, 0.2489], [0.0832, 0.4226, 0.2496], [0.5774, 0.9168, 0.7504], [0.2564, 0.2564, 0.7511], [0.4226, 0.0832, 0.2496]],
  "total_magnetization_mub_per_cell": 0.0,
  "energy_ev_per_atom": -7.065,
  "vol_a3_per_atom": 22.851,
  "spacegroup": "No. 12"
}


[3]
{
  "formula": "Pm2YTmP4",
  "functional": "PBE-GGA",
  "state": "relaxed",
  "lattice": [[4.0600, 0.0000, 0.0000], [0.0000, 7.0275, 0.1226], [0.0000, -2.4571, 6.5780]],
  "species": ["Pm", "Pm", "Y", "Tm", "P", "P", "P", "P"],
  "fractional_positions": [[0.5000, 0.0000, 0.5000], [0.0000, 0.5000, 0.5000], [0.0000, 0.0000, 0.0000], [0.5000, 0.5000, 0.0000], [0.5000, 0.2492, 0.2416], [0.5000, 0.7508, 0.7584], [0.0000, 0.2552, 0.7597], [0.0000, 0.7448, 0.2403]],
  "total_magnetization_mub_per_cell": 0.0,
  "energy_ev_per_atom": -6.843,
  "vol_a3_per_atom": 23.613,
  "spacegroup": "No. 10"
}


[4]
{
  "formula": "Pm4UP5",
  "functional": "PBE-GGA",
  "state": "relaxed",
  "lattice": [[-4.0811, -3.4093, 2.2599], [0.3242, -0.6195, 7.0374], [-5.9506, 3.3927, 1.7589]],
  "species": ["Pm", "Pm", "Pm", "Pm", "U", "P", "P", "P", "P", "P"],
  "fractional_positions": [[0.4037, 0.3980, 0.7968], [0.8016, 0.7968, 0.6020], [0.2004, 0.2032, 0.3980], [0.5984, 0.6020, 0.2032], [0.0011, 0.0000, 0.0000], [0.9058, 0.3831, 0.8072], [0.2890, 0.8072, 0.6169], [0.7130, 0.1928, 0.3831], [0.0962, 0.6169, 0.1928], [0.5012, 0.0000, 0.0000]],
  "total_magnetization_mub_per_cell": 1.9,
  "energy_ev_per_atom": -7.181,
  "vol_a3_per_atom": 24.075,
  "spacegroup": "No. 87"
}


- Which formula does entry 3 have?
  Pm2YTmP4


- Which formula does entry 3 have?
  Pm2YTmP4